Record 1
Material: Ta2HgRu
Method: DFT, PBEsol
State: optimized geometry

Cell: 2.962 3.984 5.675 Å, 90.00 90.00 90.00°
Element x y z (fractional)
Hg1 0.500 0.500 0.000
Ru1 0.500 0.500 0.500
Ta1 0.000 0.000 0.270
Ta2 0.000 0.000 0.730

* space group: Pmmm (47)
* V: 66.96 Å³ per cell
* energy relative to the elements: 0.19 eV per formula unit
* E: -8.91 eV per atom

---

Record 2
Material: TeRhW3
Method: DFT, PBEsol
State: optimized geometry

Cell: 4.700 4.700 4.700 Å, 90.00 90.00 90.00°
Element x y z (fractional)
W1 0.000 0.000 0.500
W2 0.000 0.500 0.000
W3 0.500 0.000 0.000
Te1 0.500 0.500 0.500
Rh1 0.000 0.000 0.000

* space group: Pm-3m (221)
* V: 103.85 Å³ per cell
* E: -8.65 eV per atom
* raw formation energy: 190.0 kJ per mole of atoms

---

Record 3
Material: SrGa2S4
Method: DFT, PBEsol
State: optimized geometry

Cell: 5.980 5.970 10.407 Å, 90.00 90.00 120.06°
Element x y z (fractional)
Sr1 0.500 0.000 0.250
Sr2 0.500 0.000 0.750
S1 0.500 0.500 0.667
S2 0.000 0.500 0.167
S3 0.648 0.833 0.000
S4 0.000 0.500 0.833
S5 0.352 0.167 0.000
S6 0.500 0.500 0.333
S7 0.814 0.167 0.500
S8 0.186 0.833 0.500
Ga1 0.765 0.527 0.000
Ga2 0.238 0.473 0.500
Ga3 0.235 0.473 0.000
Ga4 0.762 0.527 0.500

* space group: Cccm (66)
* V: 321.57 Å³ per cell
* E: -4.91 eV per atom
* raw formation energy: -114.7 kJ per mole of atoms

---

Record 4
Material: BaBe2Cu
Method: DFT, PBEsol
State: optimized geometry

Cell: 3.888 3.888 6.106 Å, 71.44 71.44 60.00°
Element x y z (fractional)
Be1 0.321 0.321 0.038
Be2 0.679 0.679 0.962
Ba1 0.500 0.500 0.500
Cu1 0.000 0.000 0.000

* space group: R-3m (166)
* V: 74.33 Å³ per cell
* energy relative to the elements: 0.49 eV per formula unit
* E: -3.50 eV per atom
* distance to the lowest polymorph of the same formula: 0.000 eV/atom

---

Record 5
Material: Ge2Bi2Te5
Method: DFT, PBEsol
State: optimized geometry

Cell: 4.238 4.238 17.834 Å, 83.18 83.18 60.00°
Element x y z (fractional)
Te1 0.603 0.603 0.191
Te2 0.196 0.196 0.412
Te3 0.400 0.400 0.800
Te4 0.798 0.798 0.605
Te5 0.010 0.010 0.969
Bi1 0.898 0.898 0.307
Bi2 0.310 0.310 0.070
Ge1 0.093 0.093 0.720
Ge2 0.492 0.492 0.525

* space group: R3m (160)
* V: 274.73 Å³ per cell
* E: -4.15 eV per atom
* raw formation energy: -13.3 kJ per mole of atoms

---

Record 6
Material: CrIrOs2
Method: DFT, PBEsol
State: optimized geometry

Cell: 2.678 3.757 5.340 Å, 90.00 90.00 90.00°
Each line ends with the local moment (μB).
Element x y z (fractional)
Cr1 0.000 0.000 0.497  0.63
Os1 0.000 0.000 0.009  0.04
Os2 0.500 0.500 0.253  -0.06
Ir1 0.500 0.500 0.741  -0.04

* space group: Pmm2 (25)
* V: 53.73 Å³ per cell
* energy relative to the elements: 0.09 eV per formula unit
* E: -11.10 eV per atom
* distance to the lowest polymorph of the same formula: 0.000 eV/atom

---

Q: The highest E belongs to which entry?
A: BaBe2Cu

---

Q: V of number 3 (SrGa2S4)?
A: 321.57 Å³ per cell